Record 1
First-principles (GGA-PBE) data for a relaxed BeMoPIr crystal, as listed in Alexandria.

## Properties
Crystal system: triclinic
Energy of formation, eV per atom: -0.34
Total magnetization, μB per formula unit: 0.00

a b c (Å): 2.895 4.559 4.775
angles (deg): 62.36 72.78 71.82
Element x y z (fractional)
Be  0.000  0.000  0.000
Mo  0.285  0.953  0.482
P  0.984  0.482  0.549
Ir  0.703  0.531  0.060

=====

Record 2
First-principles (GGA-PBE) data for a relaxed LaTmPt crystal, as listed in Alexandria.

## Properties
Crystal system: orthorhombic
Energy of formation, eV per atom: -0.93
Total magnetization, μB per formula unit: 0.00

a b c (Å): 7.021 13.419 7.135
angles (deg): 90.00 90.00 90.00
Element x y z (fractional)
La  0.235  0.194  0.097
La  0.235  0.306  0.597
La  0.265  0.694  0.097
La  0.265  0.806  0.597
La  0.735  0.194  0.403
La  0.735  0.306  0.903
La  0.765  0.694  0.403
La  0.765  0.806  0.903
Tm  0.001  0.530  0.754
Tm  0.001  0.970  0.254
Tm  0.499  0.030  0.754
Tm  0.499  0.470  0.254
Tm  0.501  0.530  0.746
Tm  0.501  0.970  0.246
Tm  0.999  0.030  0.746
Tm  0.999  0.470  0.246
Pt  0.243  0.597  0.460
Pt  0.243  0.903  0.960
Pt  0.257  0.097  0.460
Pt  0.257  0.403  0.960
Pt  0.743  0.597  0.040
Pt  0.743  0.903  0.540
Pt  0.757  0.097  0.040
Pt  0.757  0.403  0.540

=====

Record 3
First-principles (GGA-PBE) data for a relaxed GaHAu crystal, as listed in Alexandria.

## Properties
Crystal system: monoclinic
Total magnetization, μB per formula unit: 0.00

a b c (Å): 3.667 3.667 10.493
angles (deg): 99.75 99.75 89.96
Element x y z (fractional)
Ga  0.192  0.192  0.378
Ga  0.808  0.808  0.622
H  0.482  0.482  0.963
H  0.518  0.518  0.037
Au  0.321  0.321  0.649
Au  0.679  0.679  0.351

=====

Raw total energy readings, ordered: -30.179; -145.908; -19.387 eV/cell
Polymorph energy (0 for the lowest one) readings, ordered: 138; 0; 0 meV/atom